(1)
The following is a GGA-PBE calculation of an optimized crystal structure of BaReTe2, from the Alexandria database.

POSCAR file:
```
BaReTe2
1.0
8.3387 0.0000 0.0000
0.0000 8.3387 0.0000
4.1693 4.1693 3.7393
Te Re Ba
4 2 2
Direct
0.8750 0.9762 0.7500
0.3750 0.2738 0.7500
0.7262 0.1250 0.2500
0.0238 0.6250 0.2500
0.0000 0.0000 0.0000
0.7500 0.2500 0.5000
0.2500 0.7500 0.5000
0.5000 0.5000 0.0000
```

Space-group type   No. 122
Formation energy (no corrections)   -0.237 eV per atom
Energy above the lowest structure with this stoichiometry   38 meV/atom

(2)
The following is a GGA-PBE calculation of an optimized crystal structure of Fe3H12Pt5, from the Alexandria database.

POSCAR file:
```
Fe3H12Pt5
1.0
9.4459 0.0000 0.0000
-3.1486 8.9057 0.0000
-3.1486 -4.4528 7.7125
Pt H Fe
20 48 12
Direct
0.2500 0.3750 0.6250
0.7500 0.6250 0.3750
0.1250 0.7500 0.3750
0.0000 0.0000 0.5000
0.2500 0.8750 0.1250
0.5000 0.0000 0.5000
0.0000 0.0000 0.0000
0.3750 0.1250 0.7500
0.0000 0.5000 0.0000
0.0000 0.5000 0.5000
0.5000 0.0000 0.0000
0.6250 0.7500 0.8750
0.8750 0.2500 0.6250
0.3750 0.2500 0.1250
0.7500 0.1250 0.8750
0.5000 0.5000 0.5000
0.6250 0.8750 0.2500
0.5000 0.5000 0.0000
0.1250 0.3750 0.2500
0.8750 0.6250 0.7500
0.4248 0.2784 0.3333
0.6667 0.4450 0.5914
0.8333 0.9086 0.0550
0.5550 0.2216 0.1464
0.1464 0.7216 0.5550
0.4450 0.6667 0.0914
0.0550 0.4086 0.8333
0.5752 0.8536 0.4086
0.9086 0.0752 0.8536
0.4086 0.3536 0.5752
0.8536 0.5752 0.9086
0.4450 0.7784 0.8536
0.6464 0.0550 0.2216
0.2784 0.4248 0.8333
0.1464 0.4248 0.0914
0.0914 0.1667 0.4450
0.4248 0.1464 0.5914
0.0752 0.1667 0.2216
0.9248 0.8333 0.7784
0.2216 0.6667 0.0752
0.2784 0.8536 0.9450
0.8536 0.2784 0.4450
0.7216 0.5752 0.1667
0.3536 0.4086 0.0752
0.0752 0.9086 0.3536
0.5914 0.9450 0.6667
0.4086 0.0550 0.3333
0.9248 0.0914 0.6464
0.7216 0.1464 0.0550
0.7784 0.4450 0.3536
0.1667 0.0752 0.7216
0.9450 0.5914 0.1667
0.1667 0.0914 0.9450
0.5914 0.6464 0.4248
0.3333 0.7784 0.4248
0.3536 0.9450 0.7784
0.5550 0.3333 0.9086
0.8333 0.9248 0.2784
0.5752 0.7216 0.6667
0.6464 0.5914 0.9248
0.9450 0.3536 0.2784
0.3333 0.5550 0.4086
0.7784 0.3333 0.9248
0.0550 0.6464 0.7216
0.6667 0.2216 0.5752
0.0914 0.9248 0.1464
0.2216 0.5550 0.6464
0.9086 0.8333 0.5550
0.6250 0.3750 0.7500
0.7500 0.8750 0.6250
0.8750 0.1250 0.2500
0.3750 0.7500 0.6250
0.8750 0.7500 0.1250
0.6250 0.2500 0.3750
0.1250 0.8750 0.7500
0.2500 0.1250 0.3750
0.3750 0.6250 0.2500
0.7500 0.3750 0.1250
0.2500 0.6250 0.8750
0.1250 0.2500 0.8750
```

Space-group type   No. 230
Final energy   -4.590 eV/atom

(3)
The following is a GGA-PBE calculation of an optimized crystal structure of Zn4Pd3, from the Alexandria database.

POSCAR file:
```
Zn4Pd3
1.0
-1.8691 0.6715 2.0823
-1.3656 -3.1925 -0.1964
8.2043 -1.9852 6.0160
Pd Zn
3 4
Direct
0.8550 0.3550 0.7100
0.0000 0.5000 0.0000
0.1450 0.6450 0.2900
0.2855 0.7855 0.5711
0.5720 0.0720 0.1440
0.7145 0.2145 0.4289
0.4280 0.9280 0.8560
```

Space-group type   No. 71
E_form   -3.37 eV/f.u.
Energy above the lowest structure with this stoichiometry   0 meV/atom

(4)
The following is a GGA-PBE calculation of an optimized crystal structure of SnTe3Ir, from the Alexandria database.

POSCAR file:
```
SnTe3Ir
1.0
5.2908 0.0000 0.0000
0.0000 5.2908 0.0000
0.0000 0.0000 5.2908
Te Sn Ir
3 1 1
Direct
0.0000 0.0000 0.5000
0.5000 0.0000 0.0000
0.0000 0.5000 0.0000
0.5000 0.5000 0.5000
0.0000 0.0000 0.0000
```

Space-group type   No. 221
Formation energy (no corrections)   0.364 eV per atom
Energy above the lowest structure with this stoichiometry   0 meV/atom

(5)
The following is a GGA-PBE calculation of an optimized crystal structure of LiSmTlAg, from the Alexandria database.

POSCAR file:
```
LiSmTlAg
1.0
4.9704 0.0000 0.0000
2.4852 4.3045 0.0000
2.4852 1.4348 4.0583
Li Tl Ag Sm
1 1 1 1
Direct
0.7500 0.7500 0.7500
0.0000 0.0000 0.0000
0.2500 0.2500 0.2500
0.5000 0.5000 0.5000
```

Space-group type   No. 216
E_form   -1.16 eV/f.u.
Energy above the lowest structure with this stoichiometry   0 meV/atom

(6)
The following is a GGA-PBE calculation of an optimized crystal structure of MnCuCl3, from the Alexandria database.

POSCAR file:
```
MnCuCl3
1.0
4.8964 0.0000 0.0000
0.0000 4.8964 0.0000
0.0000 0.0000 4.8964
Mn Cu Cl
1 1 3
Direct
0.0000 0.0000 0.0000
0.5000 0.5000 0.5000
0.0000 0.5000 0.0000
0.0000 0.0000 0.5000
0.5000 0.0000 0.0000
```

Space-group type   No. 221
Formation energy (no corrections)   -0.324 eV per atom
Energy above the lowest structure with this stoichiometry   475 meV/atom

(7)
The following is a GGA-PBE calculation of an optimized crystal structure of Er3GeS6, from the Alexandria database.

POSCAR file:
```
Er3GeS6
1.0
-3.3468 -2.9335 -4.8051
7.1869 -3.3525 -2.9591
-2.6700 -5.8935 5.4576
S Ge Er
12 2 6
Direct
0.6875 0.3083 0.3675
0.2065 0.0988 0.5617
0.6875 0.6325 0.6917
0.7065 0.5617 0.0988
0.1771 0.0356 0.9644
0.1875 0.3675 0.3083
0.7065 0.9012 0.4383
0.1875 0.6917 0.6325
0.6422 0.2179 0.7821
0.1422 0.7821 0.2179
0.2065 0.4383 0.9012
0.6771 0.9644 0.0356
0.5209 0.7995 0.2005
0.0209 0.2005 0.7995
0.9799 0.0867 0.2847
0.9799 0.7153 0.9133
0.4799 0.9133 0.7153
0.8973 0.5976 0.4024
0.3973 0.4024 0.5976
0.4799 0.2847 0.0867
```

Space-group type   No. 36
Formation energy (no corrections)   -1.565 eV per atom

(8)
The following is a GGA-PBE calculation of an optimized crystal structure of NaNdS2O8, from the Alexandria database.

POSCAR file:
```
NaNdS2O8
1.0
6.3732 -0.2320 -0.0997
1.0561 7.1322 0.3390
0.0207 0.8111 6.9787
Na O S Nd
2 16 4 2
Direct
0.0556 0.7115 0.6931
0.9444 0.2885 0.3069
0.6847 0.8775 0.7056
0.3017 0.0574 0.8961
0.2937 0.4598 0.2895
0.5928 0.2528 0.4563
0.9813 0.2510 0.9717
0.2450 0.3770 0.7436
0.6983 0.9426 0.1039
0.5664 0.3091 0.1103
0.3153 0.1225 0.2944
0.7550 0.6230 0.2564
0.0187 0.7490 0.0283
0.0001 0.1571 0.6635
0.9999 0.8429 0.3365
0.4336 0.6909 0.8897
0.4072 0.7472 0.5437
0.7063 0.5402 0.7105
0.4415 0.2848 0.2867
0.1308 0.2140 0.8184
0.8692 0.7860 0.1816
0.5585 0.7152 0.7133
0.3631 0.7952 0.1944
0.6369 0.2048 0.8056
```

Space-group type   No. 2
Formation energy (no corrections)   -2.055 eV per atom
Energy above the lowest structure with this stoichiometry   0 meV/atom